(1)
La2Nd4Sn3Br2: relaxed, PBE.

Properties
The value obtained for the density of states at the Fermi level is 10.379 states/eV per cell. As for the space group: No. 139. As for the calculated total energy: -4.7107 eV per atom. The total moment is 0.00 μB per cell.

abc: 5.465 5.465 12.876
angles: 102.25 102.25 90.00
Positions (direct):
1 La 0.302 0.302 0.604
2 La 0.698 0.698 0.396
3 Nd 0.409 0.909 0.819
4 Nd 0.909 0.409 0.819
5 Nd 0.091 0.591 0.181
6 Nd 0.591 0.091 0.181
7 Sn 0.000 0.000 0.000
8 Sn 0.169 0.169 0.337
9 Sn 0.831 0.831 0.663
10 Br 0.436 0.436 0.871
11 Br 0.564 0.564 0.129

(2)
Mn2TlAs: relaxed, PBE.

Properties
The value obtained for the density of states at the Fermi level is 2.995 states/eV per cell. Its energy above the lowest structure with this stoichiometry is 44 kJ/mol of formula units. As for the space group: No. 8. As for the calculated total energy: -6.0245 eV per atom. The total moment is 6.59 μB per cell.

abc: 5.821 5.821 4.410
angles: 68.80 68.80 31.74
Last column: magnetic moment on the atom in μB.
Positions (direct):
1 As 0.289 0.289 0.208  -0.12
2 Mn 0.976 0.976 0.022  2.96
3 Mn 0.716 0.716 0.789  3.67
4 Tl 0.520 0.520 0.481  -0.08

(3)
Nd4TeAuSe2: relaxed, PBE.

Properties
The value obtained for the density of states at the Fermi level is 5.552 states/eV per cell. As for the space group: No. 10. As for the calculated total energy: -5.5173 eV per atom. The total moment is 0.00 μB per cell.

abc: 4.242 7.581 7.521
angles: 71.39 90.00 90.00
Positions (direct):
1 Nd 0.000 0.755 0.756
2 Nd 0.000 0.245 0.244
3 Nd 0.500 0.768 0.238
4 Nd 0.500 0.232 0.762
5 Te 0.000 0.500 0.500
6 Au 0.500 0.500 0.000
7 Se 0.000 0.000 0.000
8 Se 0.500 0.000 0.500

(4)
CuTeCl6: relaxed, PBE.

Properties
Its energy above the lowest structure with this stoichiometry is 0 kJ/mol of formula units. As for the space group: No. 5. As for the calculated total energy: -2.8174 eV per atom. The total moment is 1.06 μB per cell.

abc: 6.740 6.977 6.977
angles: 58.29 96.05 83.95
Last column: magnetic moment on the atom in μB.
Positions (direct):
1 Cu 0.500 0.941 0.941  0.51
2 Te 0.000 0.043 0.043  0.00
3 Cl 0.754 0.773 0.266  0.10
4 Cl 0.246 0.266 0.773  0.10
5 Cl 0.195 0.971 0.388  0.01
6 Cl 0.292 0.695 0.090  0.11
7 Cl 0.708 0.090 0.695  0.11
8 Cl 0.805 0.388 0.971  0.01

(5)
MnCdIn2: relaxed, PBE.

Properties
The value obtained for the density of states at the Fermi level is 2.508 states/eV per cell. As for the space group: No. 12. As for the calculated total energy: -3.6627 eV per atom. The total moment is 3.75 μB per cell.

abc: 5.001 5.001 5.899
angles: 79.18 79.18 37.21
Last column: magnetic moment on the atom in μB.
Positions (direct):
1 Cd 0.750 0.750 0.750  -0.01
2 In 0.994 0.994 0.019  -0.04
3 In 0.506 0.506 0.481  -0.04
4 Mn 0.250 0.250 0.250  3.69

(6)
K3PtAu4: relaxed, PBE.

Properties
The value obtained for the density of states at the Fermi level is 7.319 states/eV per cell. As for the space group: No. 59. As for the calculated total energy: -2.9380 eV per atom. The total moment is 0.00 μB per cell.

abc: 6.468 5.843 12.566
angles: 90.00 90.00 90.00
Positions (direct):
1 K 0.540 0.000 0.000
2 K 0.460 0.500 0.500
3 K 0.802 0.500 0.751
4 K 0.802 0.500 0.249
5 K 0.198 0.000 0.749
6 K 0.198 0.000 0.251
7 Au 0.329 0.500 0.884
8 Au 0.329 0.500 0.116
9 Au 0.029 0.236 0.000
10 Au 0.029 0.764 0.000
11 Au 0.971 0.736 0.500
12 Au 0.971 0.264 0.500
13 Au 0.671 0.000 0.384
14 Au 0.671 0.000 0.616
15 Pt 0.684 0.500 0.000
16 Pt 0.316 0.000 0.500

(7)
KBrO: relaxed, PBE.

Properties
As for the space group: No. 12. As for the calculated total energy: -3.0079 eV per atom. The total moment is 3.96 μB per cell.

abc: 6.432 6.432 5.261
angles: 105.56 105.56 84.56
Last column: magnetic moment on the atom in μB.
Positions (direct):
1 K 0.201 0.201 0.800  0.00
2 K 0.799 0.799 0.200  0.00
3 Br 0.747 0.253 0.000  0.41
4 Br 0.253 0.747 0.000  0.41
5 O 0.119 0.119 0.249  1.15
6 O 0.881 0.881 0.751  1.15

(8)
LiMgIr2: relaxed, PBE.

Properties
The value obtained for the density of states at the Fermi level is 3.671 states/eV per cell. As for the space group: No. 25. As for the calculated total energy: -5.4348 eV per atom. The total moment is 0.00 μB per cell.

abc: 2.779 3.980 5.393
angles: 90.00 90.00 90.00
Positions (direct):
1 Ir 0.000 0.000 0.027
2 Ir 0.500 0.500 0.234
3 Li 0.000 0.000 0.497
4 Mg 0.500 0.500 0.742

(9)
LaDyAgOs: relaxed, PBE.

Properties
The value obtained for the density of states at the Fermi level is 2.644 states/eV per cell. As for the space group: No. 216. As for the calculated total energy: -6.0635 eV per atom. The total moment is 0.00 μB per cell.

abc: 5.072 5.072 5.072
angles: 60.00 60.00 60.00
Positions (direct):
1 La 0.250 0.250 0.250
2 Os 0.000 0.000 0.000
3 Ag 0.500 0.500 0.500
4 Dy 0.750 0.750 0.750

(10)
Zr2SnAs: relaxed, PBE.

Properties
The value obtained for the density of states at the Fermi level is 3.656 states/eV per cell. Its energy above the lowest structure with this stoichiometry is 16 kJ/mol of formula units. As for the space group: No. 166. As for the calculated total energy: -7.1525 eV per atom. The total moment is 0.00 μB per cell.

abc: 3.884 3.884 7.287
angles: 74.55 74.55 60.00
Positions (direct):
1 As 0.000 0.000 0.000
2 Sn 0.500 0.500 0.500
3 Zr 0.261 0.261 0.218
4 Zr 0.739 0.739 0.782

(11)
K2TcTeO6: relaxed, PBE.

Properties
The value obtained for the density of states at the Fermi level is 4.136 states/eV per cell. As for the space group: No. 225. As for the calculated total energy: -5.8616 eV per atom. The total moment is 1.06 μB per cell.

abc: 5.816 5.816 5.815
angles: 60.01 60.01 90.00
Last column: magnetic moment on the atom in μB.
Positions (direct):
1 K 0.750 0.250 0.500  0.00
2 K 0.250 0.750 0.500  0.00
3 Tc 0.000 0.000 0.000  0.81
4 Te 0.500 0.500 0.000  0.01
5 O 0.237 0.237 0.525  0.02
6 O 0.763 0.763 0.000  0.02
7 O 0.237 0.763 0.000  0.02
8 O 0.763 0.237 0.000  0.02
9 O 0.237 0.237 0.000  0.02
10 O 0.763 0.763 0.475  0.02

(12)
LiNi2Sn4: relaxed, PBE.

Properties
The value obtained for the density of states at the Fermi level is 3.000 states/eV per cell. As for the space group: No. 166. As for the calculated total energy: -4.4320 eV per atom. The total moment is 0.00 μB per cell.

abc: 4.282 4.282 9.284
angles: 76.67 76.67 60.00
Positions (direct):
1 Li 0.500 0.500 0.500
2 Ni 0.600 0.600 0.199
3 Ni 0.400 0.400 0.801
4 Sn 0.703 0.703 0.892
5 Sn 0.891 0.891 0.327
6 Sn 0.297 0.297 0.108
7 Sn 0.109 0.109 0.673

(13)
CrIrSeN2: relaxed, PBE.

Properties
The value obtained for the density of states at the Fermi level is 6.704 states/eV per cell. Its energy above the lowest structure with this stoichiometry is 113 kJ/mol of formula units. As for the space group: No. 123. As for the calculated total energy: -6.5554 eV per atom. The total moment is 0.43 μB per cell.

abc: 3.738 3.738 5.786
angles: 90.00 90.00 90.00
Last column: magnetic moment on the atom in μB.
Positions (direct):
1 Cr 0.500 0.500 0.500  -0.36
2 Ir 0.000 0.000 0.000  0.02
3 Se 0.000 0.000 0.500  0.06
4 N 0.000 0.500 0.000  -0.04
5 N 0.500 0.000 0.000  -0.04

(14)
AgPd7Au12: relaxed, PBE.

Properties
The value obtained for the density of states at the Fermi level is 14.702 states/eV per cell. As for the space group: No. 204. As for the calculated total energy: -3.4334 eV per atom. The total moment is 0.00 μB per cell.

abc: 8.401 8.401 8.401
angles: 109.47 109.47 109.47
Positions (direct):
1 Ag 0.000 0.000 0.000
2 Pd 0.500 0.000 0.500
3 Pd 0.500 0.500 0.000
4 Pd 0.000 0.500 0.500
5 Pd 0.000 0.000 0.500
6 Pd 0.500 0.000 0.000
7 Pd 0.500 0.500 0.500
8 Pd 0.000 0.500 0.000
9 Au 0.262 0.145 0.407
10 Au 0.262 0.855 0.117
11 Au 0.738 0.855 0.593
12 Au 0.738 0.145 0.883
13 Au 0.407 0.262 0.145
14 Au 0.883 0.738 0.145
15 Au 0.593 0.738 0.855
16 Au 0.117 0.262 0.855
17 Au 0.855 0.117 0.262
18 Au 0.145 0.883 0.738
19 Au 0.145 0.407 0.262
20 Au 0.855 0.593 0.738

(15)
Tm2NiOs: relaxed, PBE.

Properties
The value obtained for the density of states at the Fermi level is 2.502 states/eV per cell. Its energy above the lowest structure with this stoichiometry is 300 kJ/mol of formula units. As for the space group: No. 166. As for the calculated total energy: -6.0950 eV per atom. The total moment is 0.00 μB per cell.

abc: 3.243 3.243 9.357
angles: 80.02 80.02 60.00
Positions (direct):
1 Ni 0.000 0.000 0.000
2 Tm 0.091 0.091 0.726
3 Tm 0.909 0.909 0.274
4 Os 0.500 0.500 0.500

(16)
La2TaAu: relaxed, PBE.

Properties
The value obtained for the density of states at the Fermi level is 4.317 states/eV per cell. Its energy above the lowest structure with this stoichiometry is 94 kJ/mol of formula units. As for the space group: No. 47. As for the calculated total energy: -6.0093 eV per atom. The total moment is 0.00 μB per cell.

abc: 3.623 5.314 5.021
angles: 90.00 90.00 90.00
Positions (direct):
1 Au 0.000 0.500 0.500
2 La 0.000 0.000 0.000
3 La 0.500 0.500 0.000
4 Ta 0.500 0.000 0.500

(17)
BeTe2Mo: relaxed, PBE.

Properties
The value obtained for the density of states at the Fermi level is 3.905 states/eV per cell. As for the space group: No. 166. As for the calculated total energy: -4.4668 eV per atom. The total moment is 0.58 μB per cell.

abc: 8.701 8.701 8.701
angles: 22.59 22.59 22.59
Last column: magnetic moment on the atom in μB.
Positions (direct):
1 Be 0.500 0.500 0.500  0.00
2 Mo 0.000 0.000 0.000  0.51
3 Te 0.896 0.896 0.896  -0.01
4 Te 0.104 0.104 0.104  -0.01

(18)
Ce2InH: relaxed, PBE.

Properties
The value obtained for the density of states at the Fermi level is 9.073 states/eV per cell. Its energy above the lowest structure with this stoichiometry is 0 kJ/mol of formula units. As for the space group: No. 119. As for the calculated total energy: -4.8715 eV per atom. The total moment is 2.14 μB per cell.

abc: 4.223 4.223 5.765
angles: 111.46 111.49 90.00
Last column: magnetic moment on the atom in μB.
Positions (direct):
1 Ce 0.916 0.791 0.831  0.86
2 Ce 0.209 0.084 0.419  0.86
3 In 0.563 0.437 0.125  -0.03
4 H 0.812 0.188 0.625  -0.01